Entry 1:
The following is a DFT calculation (PBE) of a geometry-optimized ZnCu2O4 structure.

a b c (Å): 5.8173 10.1620 5.0774
angles (deg): 90.00 90.00 90.00
Atoms (fractional coordinates):
Zn1 0.2500 0.2500 0.0168
Zn2 0.2500 0.7500 0.3450
Zn3 0.7500 0.2500 0.6550
Zn4 0.7500 0.7500 0.9832
Cu1 0.0000 0.0000 0.5000
Cu2 0.0000 0.5000 0.5000
Cu3 0.2500 0.5171 0.9856
Cu4 0.2500 0.9829 0.9856
Cu5 0.5000 0.0000 0.5000
Cu6 0.5000 0.5000 0.5000
Cu7 0.7500 0.0171 0.0144
Cu8 0.7500 0.4829 0.0144
O1 0.0012 0.1177 0.8338
O2 0.0012 0.3823 0.8338
O3 0.2500 0.0966 0.3001
O4 0.2500 0.4034 0.3001
O5 0.2500 0.6034 0.6378
O6 0.2500 0.8966 0.6378
O7 0.4988 0.1177 0.8338
O8 0.4988 0.3823 0.8338
O9 0.5012 0.6177 0.1662
O10 0.5012 0.8823 0.1662
O11 0.7500 0.1034 0.3622
O12 0.7500 0.3966 0.3622
O13 0.7500 0.5966 0.6999
O14 0.7500 0.9034 0.6999
O15 0.9988 0.6177 0.1662
O16 0.9988 0.8823 0.1662

Output
Raw formation energy (eV per atom): -0.5530
SG: No. 59
E above lowest polymorph (meV/atom): 167



Entry 2:
The following is a DFT calculation (PBE) of a geometry-optimized Zn3CuO structure.

a b c (Å): 4.5367 4.5367 4.5367
angles (deg): 90.00 90.00 90.00
Atoms (fractional coordinates):
Zn1 0.0000 0.0000 0.5000
Zn2 0.0000 0.5000 0.0000
Zn3 0.5000 0.0000 0.0000
Cu1 0.0000 0.0000 0.0000
O1 0.5000 0.5000 0.5000

Output
Raw formation energy (eV per atom): 0.5603
SG: No. 221
E above lowest polymorph (meV/atom): 609



Entry 3:
The following is a DFT calculation (PBE) of a geometry-optimized Zn2Cu9O13 structure.

a b c (Å): 5.1434 5.1434 16.3295
angles (deg): 97.94 97.94 33.15
Atoms (fractional coordinates):
Zn1 0.2204 0.2204 0.2257
Zn2 0.7796 0.7796 0.7743
Cu1 0.0026 0.0026 0.6688
Cu2 0.0614 0.0614 0.8775
Cu3 0.2466 0.2466 0.5822
Cu4 0.3510 0.3510 0.9588
Cu5 0.5000 0.5000 0.5000
Cu6 0.6490 0.6490 0.0412
Cu7 0.7534 0.7534 0.4178
Cu8 0.9386 0.9386 0.1225
Cu9 0.9974 0.9974 0.3312
O1 0.0000 0.0000 0.0000
O2 0.1356 0.1356 0.4719
O3 0.1380 0.1380 0.7739
O4 0.3045 0.3045 0.0701
O5 0.3669 0.3669 0.6847
O6 0.3991 0.3991 0.3873
O7 0.4129 0.4129 0.8542
O8 0.5871 0.5871 0.1458
O9 0.6009 0.6009 0.6127
O10 0.6331 0.6331 0.3153
O11 0.6955 0.6955 0.9299
O12 0.8620 0.8620 0.2261
O13 0.8644 0.8644 0.5281

Output
Raw formation energy (eV per atom): -0.5560
SG: No. 12



Entry 4:
The following is a DFT calculation (PBE) of a geometry-optimized ZnCu2O4 structure.

a b c (Å): 5.9256 5.9256 5.9256
angles (deg): 120.15 119.56 90.25
Atoms (fractional coordinates):
Zn1 0.5000 0.0000 0.0000
Zn2 0.5000 0.5000 0.5000
Cu1 0.0000 0.0000 0.0000
Cu2 0.1167 0.3667 0.7500
Cu3 0.5000 0.0000 0.5000
Cu4 0.8833 0.6333 0.2500
O1 0.2412 0.2296 0.0117
O2 0.2480 0.2312 0.4832
O3 0.2480 0.7648 0.0168
O4 0.2821 0.7704 0.5117
O5 0.7179 0.2296 0.4883
O6 0.7520 0.2352 0.9832
O7 0.7520 0.7688 0.5168
O8 0.7588 0.7704 0.9883

Output
Raw formation energy (eV per atom): -0.6131
SG: No. 74
E above lowest polymorph (meV/atom): 106



Entry 5:
The following is a DFT calculation (PBE) of a geometry-optimized ZrZn2CuO structure.

a b c (Å): 5.4728 5.4728 3.9562
angles (deg): 90.00 90.00 90.00
Atoms (fractional coordinates):
Zr1 0.0000 0.0000 0.0000
Zn1 0.0000 0.5000 0.0000
Zn2 0.5000 0.0000 0.0000
Cu1 0.5000 0.5000 0.5000
O1 0.0000 0.0000 0.5000

Output
Raw formation energy (eV per atom): -0.0101
SG: No. 123



Entry 6:
The following is a DFT calculation (PBE) of a geometry-optimized Zr3Cu3O structure.

a b c (Å): 8.4279 8.4279 8.4279
angles (deg): 60.00 60.00 60.00
Atoms (fractional coordinates):
Zr1 0.0697 0.0697 0.6803
Zr2 0.0697 0.6803 0.0697
Zr3 0.0697 0.6803 0.6803
Zr4 0.3197 0.3197 0.9303
Zr5 0.3197 0.9303 0.3197
Zr6 0.3197 0.9303 0.9303
Zr7 0.6803 0.0697 0.0697
Zr8 0.6803 0.0697 0.6803
Zr9 0.6803 0.6803 0.0697
Zr10 0.9303 0.3197 0.3197
Zr11 0.9303 0.3197 0.9303
Zr12 0.9303 0.9303 0.3197
Cu1 0.0000 0.5000 0.5000
Cu2 0.2943 0.2943 0.2943
Cu3 0.2943 0.2943 0.6172
Cu4 0.2943 0.6172 0.2943
Cu5 0.3828 0.7057 0.7057
Cu6 0.5000 0.0000 0.5000
Cu7 0.5000 0.5000 0.0000
Cu8 0.5000 0.5000 0.5000
Cu9 0.6172 0.2943 0.2943
Cu10 0.7057 0.3828 0.7057
Cu11 0.7057 0.7057 0.3828
Cu12 0.7057 0.7057 0.7057
O1 0.0000 0.0000 0.0000
O2 0.0000 0.0000 0.5000
O3 0.0000 0.5000 0.0000
O4 0.5000 0.0000 0.0000

Output
Raw formation energy (eV per atom): -0.8393
SG: No. 227



Entry 7:
The following is a DFT calculation (PBE) of a geometry-optimized ZrCu3O structure.

a b c (Å): 4.1185 4.1185 4.1185
angles (deg): 90.00 90.00 90.00
Atoms (fractional coordinates):
Zr1 0.0000 0.0000 0.0000
Cu1 0.0000 0.5000 0.5000
Cu2 0.5000 0.0000 0.5000
Cu3 0.5000 0.5000 0.0000
O1 0.5000 0.5000 0.5000

Output
Raw formation energy (eV per atom): 0.1512
SG: No. 221
E above lowest polymorph (meV/atom): 0



Entry 8:
The following is a DFT calculation (PBE) of a geometry-optimized Zr6CuO2 structure.

a b c (Å): 7.4028 7.4028 7.4028
angles (deg): 46.11 46.11 46.11
Atoms (fractional coordinates):
Zr1 0.0020 0.3276 0.6704
Zr2 0.2075 0.8760 0.5300
Zr3 0.3276 0.6704 0.0020
Zr4 0.5300 0.2075 0.8760
Zr5 0.6704 0.0020 0.3276
Zr6 0.8760 0.5300 0.2075
Cu1 0.4359 0.4359 0.4359
O1 0.0375 0.0375 0.0375
O2 0.1657 0.1657 0.1657

Output
Raw formation energy (eV per atom): -0.8062
SG: No. 146



Entry 9:
The following is a DFT calculation (PBE) of a geometry-optimized Zr4Cu2O structure.

a b c (Å): 7.3174 7.3174 7.3174
angles (deg): 145.28 145.28 49.92
Atoms (fractional coordinates):
Zr1 0.0000 0.5000 0.5000
Zr2 0.1799 0.1799 0.0000
Zr3 0.5000 0.0000 0.5000
Zr4 0.8201 0.8201 0.0000
Cu1 0.3750 0.3750 0.0000
Cu2 0.6250 0.6250 0.0000
O1 0.0000 0.0000 0.0000

Output
Raw formation energy (eV per atom): -0.6747
SG: No. 139



Entry 10:
The following is a DFT calculation (PBE) of a geometry-optimized ZrCuO structure.

a b c (Å): 8.2561 8.2561 8.2561
angles (deg): 24.80 24.80 24.80
Atoms (fractional coordinates):
Zr1 0.1033 0.1033 0.1033
Zr2 0.8967 0.8967 0.8967
Cu1 0.3578 0.3578 0.3578
Cu2 0.6422 0.6422 0.6422
O1 0.1992 0.1992 0.1992
O2 0.8008 0.8008 0.8008

Output
Raw formation energy (eV per atom): -1.4846
SG: No. 166



Entry 11:
The following is a DFT calculation (PBE) of a geometry-optimized ZrCu3O structure.

a b c (Å): 4.9196 4.9196 4.9196
angles (deg): 90.00 90.00 90.00
Atoms (fractional coordinates):
Zr1 0.0000 0.0000 0.0000
Cu1 0.0000 0.0000 0.5000
Cu2 0.0000 0.5000 0.0000
Cu3 0.5000 0.0000 0.0000
O1 0.5000 0.5000 0.5000

Output
Raw formation energy (eV per atom): 1.8556
SG: No. 221
E above lowest polymorph (meV/atom): 1704



Entry 12:
The following is a DFT calculation (PBE) of a geometry-optimized Cu3Os structure.

a b c (Å): 7.7098 7.7098 7.7098
angles (deg): 151.97 151.97 40.05
Atoms (fractional coordinates):
Cu1 0.0000 0.5000 0.5000
Cu2 0.1267 0.1267 0.0000
Cu3 0.2500 0.7500 0.5000
Cu4 0.5000 0.0000 0.5000
Cu5 0.7500 0.2500 0.5000
Cu6 0.8733 0.8733 0.0000
Os1 0.3753 0.3753 0.0000
Os2 0.6247 0.6247 0.0000

Output
SG: No. 139
Energy of formation (eV/atom): 0.41
E above lowest polymorph (meV/atom): 224



Entry 13:
The following is a DFT calculation (PBE) of a geometry-optimized CuOs structure.

a b c (Å): 4.5816 4.5816 4.5816
angles (deg): 34.05 34.05 34.05
Atoms (fractional coordinates):
Cu1 0.0000 0.0000 0.0000
Os1 0.5000 0.5000 0.5000

Output
SG: No. 166
Energy of formation (eV/atom): 0.39
E above lowest polymorph (meV/atom): 190



Entry 14:
The following is a DFT calculation (PBE) of a geometry-optimized Cu3Os5 structure.

a b c (Å): 5.4079 5.4079 3.7470
angles (deg): 90.00 90.00 92.03
Atoms (fractional coordinates):
Cu1 0.0000 0.0000 0.0000
Cu2 0.2438 0.2438 0.5000
Cu3 0.7562 0.7562 0.5000
Os1 0.0000 0.5000 0.0000
Os2 0.2555 0.7445 0.5000
Os3 0.5000 0.0000 0.0000
Os4 0.5000 0.5000 0.0000
Os5 0.7445 0.2555 0.5000

Output
SG: No. 65
Energy of formation (eV/atom): 0.51



Entry 15:
The following is a DFT calculation (PBE) of a geometry-optimized CuOs3 structure.

a b c (Å): 4.7115 4.7115 4.6326
angles (deg): 99.15 99.15 33.45
Atoms (fractional coordinates):
Cu1 0.0000 0.0000 0.0000
Os1 0.2433 0.2433 0.7481
Os2 0.5000 0.5000 0.5000
Os3 0.7567 0.7567 0.2519

Output
SG: No. 12
Energy of formation (eV/atom): 0.32
E above lowest polymorph (meV/atom): 166



Entry 16:
The following is a DFT calculation (PBE) of a geometry-optimized CuOs3 structure.

a b c (Å): 4.8493 4.8493 4.8493
angles (deg): 90.00 90.00 90.00
Atoms (fractional coordinates):
Cu1 0.0000 0.0000 0.0000
Cu2 0.5000 0.5000 0.5000
Os1 0.0000 0.2500 0.5000
Os2 0.0000 0.7500 0.5000
Os3 0.2500 0.5000 0.0000
Os4 0.5000 0.0000 0.2500
Os5 0.5000 0.0000 0.7500
Os6 0.7500 0.5000 0.0000

Output
SG: No. 223
Energy of formation (eV/atom): 0.69
E above lowest polymorph (meV/atom): 537



Entry 17:
The following is a DFT calculation (PBE) of a geometry-optimized CuOs5 structure.

a b c (Å): 5.0870 5.0870 5.0870
angles (deg): 60.00 60.00 60.00
Atoms (fractional coordinates):
Cu1 0.0000 0.0000 0.0000
Os1 0.1249 0.6250 0.6250
Os2 0.2500 0.2500 0.2500
Os3 0.6250 0.1249 0.6250
Os4 0.6250 0.6250 0.1249
Os5 0.6250 0.6250 0.6250

Output
SG: No. 216
Energy of formation (eV/atom): 0.96
E above lowest polymorph (meV/atom): 786



Entry 18:
The following is a DFT calculation (PBE) of a geometry-optimized Cu2Os structure.

a b c (Å): 4.4856 4.4856 2.4899
angles (deg): 90.00 90.00 90.00
Atoms (fractional coordinates):
Cu1 0.0000 0.5000 0.0000
Cu2 0.5000 0.0000 0.0000
Os1 0.0000 0.0000 0.5000

Output
SG: No. 123
Energy of formation (eV/atom): 0.64
E above lowest polymorph (meV/atom): 430



Entry 19:
The following is a DFT calculation (PBE) of a geometry-optimized CuOs3 structure.

a b c (Å): 4.3292 5.4024 4.7426
angles (deg): 90.00 90.00 90.00
Atoms (fractional coordinates):
Cu1 0.2500 0.2500 0.1539
Cu2 0.7500 0.7500 0.8461
Os1 0.2500 0.5097 0.6600
Os2 0.2500 0.7500 0.1554
Os3 0.2500 0.9903 0.6600
Os4 0.7500 0.0097 0.3400
Os5 0.7500 0.2500 0.8446
Os6 0.7500 0.4903 0.3400

Output
SG: No. 59
Energy of formation (eV/atom): 0.32
E above lowest polymorph (meV/atom): 163



Entry 20:
The following is a DFT calculation (PBE) of a geometry-optimized CuOs3 structure.

a b c (Å): 5.4128 5.4128 8.7774
angles (deg): 90.00 90.00 120.00
Atoms (fractional coordinates):
Cu1 0.0000 0.0000 0.0000
Cu2 0.0000 0.0000 0.5000
Cu3 0.3333 0.6667 0.2500
Cu4 0.6667 0.3333 0.7500
Os1 0.0000 0.5000 0.0000
Os2 0.0000 0.5000 0.5000
Os3 0.1618 0.3236 0.7500
Os4 0.1618 0.8382 0.7500
Os5 0.3236 0.1618 0.2500
Os6 0.5000 0.0000 0.0000
Os7 0.5000 0.0000 0.5000
Os8 0.5000 0.5000 0.0000
Os9 0.5000 0.5000 0.5000
Os10 0.6764 0.8382 0.7500
Os11 0.8382 0.1618 0.2500
Os12 0.8382 0.6764 0.2500

Output
SG: No. 194
Energy of formation (eV/atom): 0.47
E above lowest polymorph (meV/atom): 319